## i
The following is a DFT calculation (PBE) of an optimized crystal structure of CeSiS4.

Lattice parameters (Å, degrees): 7.2880 7.2877 7.2879 74.74 74.74 118.28
Site moments in Bohr magnetons follow the coordinates.
Element x y z (fractional)
1 Ce 0.8750 0.6250 0.2500  0.25
2 Ce 0.1250 0.3750 0.7500  0.25
3 Si 0.6250 0.8750 0.7500  0.00
4 Si 0.3750 0.1250 0.2500  0.00
5 S 0.2573 0.6876 0.9303  -0.02
6 S 0.6179 0.6876 0.5697  -0.02
7 S 0.1876 0.1179 0.0697  -0.02
8 S 0.7427 0.3124 0.0697  -0.02
9 S 0.1876 0.7573 0.4303  -0.02
10 S 0.8124 0.8821 0.9303  -0.02
11 S 0.3821 0.3124 0.4303  -0.02
12 S 0.8124 0.2427 0.5697  -0.02

Values from the calculation:
Magnetic moment = 0.34 μB/cell
Space group = I4_1/amd

=====

## ii
The following is a DFT calculation (PBE) of an optimized crystal structure of CeSiS4.

Lattice parameters (Å, degrees): 6.3823 6.3823 8.9843 90.00 90.00 90.00
Element x y z (fractional)
1 Ce 0.0000 0.0000 0.0000
2 Ce 0.0000 0.0000 0.5000
3 Si 0.0000 0.5000 0.2500
4 Si 0.5000 0.0000 0.7500
5 S 0.3011 0.2123 0.8677
6 S 0.6989 0.7877 0.8677
7 S 0.2123 0.3011 0.3677
8 S 0.3011 0.7877 0.6323
9 S 0.6989 0.2123 0.6323
10 S 0.2123 0.6989 0.1323
11 S 0.7877 0.3011 0.1323
12 S 0.7877 0.6989 0.3677

Values from the calculation:
Magnetic moment = 0.00 μB/cell
Space group = P-42c

=====

The winner here is i, beating the second structure by 197 meV per atom.

=====

## i
The following is a DFT calculation (PBE) of an optimized crystal structure of CeSm2S4.

Lattice parameters (Å, degrees): 7.3707 7.3707 7.3707 109.57 109.57 109.28
Site moments in Bohr magnetons follow the coordinates.
Element x y z (fractional)
1 Ce 0.7500 0.2500 0.5000  1.01
2 Ce 0.0000 0.0000 0.0000  1.01
3 Sm 0.4900 0.1250 0.8650  0.11
4 Sm 0.8750 0.7400 0.3650  0.11
5 Sm 0.2600 0.6250 0.1350  0.11
6 Sm 0.3750 0.5100 0.6350  0.11
7 S 0.9780 0.3763 0.2494  -0.01
8 S 0.4786 0.3769 0.2506  -0.01
9 S 0.2714 0.0220 0.3983  -0.01
10 S 0.6237 0.8731 0.6017  -0.01
11 S 0.1263 0.2280 0.7494  -0.01
12 S 0.6231 0.8737 0.1017  -0.01
13 S 0.7720 0.5214 0.8983  -0.01
14 S 0.1269 0.7286 0.7506  -0.01

Values from the calculation:
Magnetic moment = 3.21 μB/cell
Space group = I-42d

=====

## ii
The following is a DFT calculation (PBE) of an optimized crystal structure of CeSm2S4.

Lattice parameters (Å, degrees): 3.9410 6.9254 13.3608 90.00 90.00 106.53
Site moments in Bohr magnetons follow the coordinates.
Element x y z (fractional)
1 Ce 0.6223 0.2445 0.7500  1.05
2 Ce 0.3777 0.7555 0.2500  1.05
3 Sm 0.1308 0.2615 0.4320  0.03
4 Sm 0.8692 0.7385 0.9320  0.03
5 Sm 0.1308 0.2615 0.0680  0.03
6 Sm 0.8692 0.7385 0.5680  0.03
7 S 0.7742 0.5484 0.1228  -0.01
8 S 0.7742 0.5484 0.3772  -0.01
9 S 0.2258 0.4516 0.8772  -0.01
10 S 0.2258 0.4516 0.6228  -0.01
11 S 0.9682 0.9364 0.7500  -0.01
12 S 0.0318 0.0636 0.2500  -0.01
13 S 0.5000 0.0000 0.0000  0.00
14 S 0.5000 0.0000 0.5000  0.00

Values from the calculation:
Magnetic moment = 2.57 μB/cell
Space group = Cmcm

=====

The winner here is ii, beating the second structure by 20 meV per atom.

=====

## i
The following is a DFT calculation (PBE) of an optimized crystal structure of Ce2SmS4.

Lattice parameters (Å, degrees): 7.3784 7.3784 7.3784 109.69 109.69 109.03
Site moments in Bohr magnetons follow the coordinates.
Element x y z (fractional)
1 Ce 0.8750 0.4993 0.1243  1.07
2 Ce 0.2493 0.1250 0.6243  1.07
3 Ce 0.3750 0.7507 0.8757  1.07
4 Ce 0.5007 0.6250 0.3757  1.07
5 Sm 0.7500 0.2500 0.5000  0.13
6 Sm 0.0000 0.0000 0.0000  0.13
7 S 0.6280 0.0263 0.7509  -0.02
8 S 0.6271 0.5255 0.7491  -0.02
9 S 0.7763 0.8780 0.2509  -0.02
10 S 0.9737 0.7245 0.6017  -0.02
11 S 0.2755 0.8771 0.2491  -0.02
12 S 0.1220 0.3729 0.8983  -0.02
13 S 0.1229 0.3720 0.3983  -0.02
14 S 0.4745 0.2237 0.1017  -0.02

Values from the calculation:
Magnetic moment = 5.77 μB/cell
Space group = I-42d

=====

## ii
The following is a DFT calculation (PBE) of an optimized crystal structure of Ce2SmS4.

Lattice parameters (Å, degrees): 3.9070 7.0086 13.3723 90.00 90.00 106.18
Site moments in Bohr magnetons follow the coordinates.
Element x y z (fractional)
1 Ce 0.1320 0.2639 0.4301  0.94
2 Ce 0.8680 0.7361 0.9301  0.94
3 Ce 0.1320 0.2639 0.0699  0.94
4 Ce 0.8680 0.7361 0.5699  0.94
5 Sm 0.6241 0.2482 0.7500  0.06
6 Sm 0.3759 0.7518 0.2500  0.06
7 S 0.7773 0.5546 0.1246  -0.02
8 S 0.7773 0.5546 0.3754  -0.02
9 S 0.2227 0.4454 0.8754  -0.02
10 S 0.2227 0.4454 0.6246  -0.02
11 S 0.9738 0.9476 0.7500  -0.01
12 S 0.0262 0.0524 0.2500  -0.01
13 S 0.5000 0.0000 0.0000  -0.03
14 S 0.5000 0.0000 0.5000  -0.03

Values from the calculation:
Magnetic moment = 4.62 μB/cell
Space group = Cmcm

=====

The winner here is i, beating the second structure by 49 meV per atom.

=====

## i
The following is a DFT calculation (PBE) of an optimized crystal structure of Ce3Sm2S8.

Lattice parameters (Å, degrees): 6.8685 8.1366 8.1633 119.89 107.79 90.00
Site moments in Bohr magnetons follow the coordinates.
Element x y z (fractional)
1 Ce 0.5000 0.0000 0.0000  0.76
2 Ce 0.0000 0.2618 0.0000  0.65
3 Ce 0.0000 0.7382 0.0000  0.65
4 Sm 0.3436 0.2673 0.5345  0.00
5 Sm 0.6564 0.7327 0.4655  0.00
6 S 0.8944 0.6102 0.2204  -0.02
7 S 0.1056 0.3898 0.7796  -0.02
8 S 0.9314 0.1160 0.2320  -0.02
9 S 0.0686 0.8840 0.7680  -0.02
10 S 0.5863 0.6447 0.7459  -0.01
11 S 0.5863 0.1012 0.7459  -0.01
12 S 0.4137 0.8988 0.2541  -0.01
13 S 0.4137 0.3553 0.2541  -0.01

Values from the calculation:
Magnetic moment = 2.02 μB/cell
Space group = C2/m

=====

## ii
The following is a DFT calculation (PBE) of an optimized crystal structure of Ce3Sm2S8.

Lattice parameters (Å, degrees): 4.7471 9.7376 8.3832 125.50 90.00 90.00
Site moments in Bohr magnetons follow the coordinates.
Element x y z (fractional)
1 Ce 0.5000 0.0000 0.0000  0.64
2 Ce 0.0000 0.2778 0.9999  0.67
3 Ce 0.0000 0.7222 0.0001  0.67
4 Sm 0.5000 0.2696 0.5392  0.01
5 Sm 0.5000 0.7304 0.4608  0.01
6 S 0.0000 0.6265 0.2531  -0.01
7 S 0.0000 0.3735 0.7469  -0.01
8 S 0.0000 0.1166 0.2332  -0.03
9 S 0.0000 0.8834 0.7668  -0.03
10 S 0.5000 0.6373 0.7538  -0.03
11 S 0.5000 0.1164 0.7537  -0.03
12 S 0.5000 0.8836 0.2463  -0.03
13 S 0.5000 0.3627 0.2462  -0.03

Values from the calculation:
Magnetic moment = 2.02 μB/cell
Space group = Cmmm

=====

The winner here is i, beating the second structure by 48 meV per atom.

=====

## i
The following is a DFT calculation (PBE) of an optimized crystal structure of Ce2SnS.

Lattice parameters (Å, degrees): 3.8870 3.8870 8.5758 76.90 76.90 60.00
Site moments in Bohr magnetons follow the coordinates.
Element x y z (fractional)
1 Ce 0.0680 0.0680 0.7962  -0.66
2 Ce 0.2656 0.2656 0.2033  0.77
3 Sn 0.4994 0.4994 0.5018  0.00
4 S 0.6671 0.6671 0.9987  0.00

Values from the calculation:
Magnetic moment = 0.22 μB/cell
Space group = R3m

=====

## ii
The following is a DFT calculation (PBE) of an optimized crystal structure of Ce2SnS.

Lattice parameters (Å, degrees): 4.2060 4.2060 7.5335 73.79 73.79 60.00
Site moments in Bohr magnetons follow the coordinates.
Element x y z (fractional)
1 S 0.5000 0.5000 0.5000  -0.02
2 Sn 0.0000 0.0000 0.0000  -0.01
3 Ce 0.7605 0.7605 0.7185  0.53
4 Ce 0.2395 0.2395 0.2815  0.53

Values from the calculation:
Magnetic moment = 1.20 μB/cell
Space group = R-3m

=====

The winner here is ii, beating the second structure by 68 meV per atom.

=====

## i
The following is a DFT calculation (PBE) of an optimized crystal structure of CeSnS4.

Lattice parameters (Å, degrees): 6.6958 6.4842 6.5901 90.00 97.65 90.00
Site moments in Bohr magnetons follow the coordinates.
Element x y z (fractional)
1 Ce 0.0000 0.0000 0.0000  0.19
2 Ce 0.5000 0.5000 0.0000  0.19
3 Sn 0.5000 0.0000 0.5000  0.01
4 Sn 0.0000 0.5000 0.5000  0.01
5 S 0.8500 0.6812 0.1835  -0.01
6 S 0.6500 0.1812 0.8165  -0.01
7 S 0.2588 0.2883 0.3052  -0.01
8 S 0.2412 0.7883 0.6948  -0.01
9 S 0.1500 0.3188 0.8165  -0.01
10 S 0.3500 0.8188 0.1835  -0.01
11 S 0.7412 0.7117 0.6948  -0.01
12 S 0.7588 0.2117 0.3052  -0.01

Values from the calculation:
Magnetic moment = 0.32 μB/cell
Space group = P2_1/c

=====

## ii
The following is a DFT calculation (PBE) of an optimized crystal structure of CeSnS4.

Lattice parameters (Å, degrees): 6.9219 6.9219 7.4571 89.99 89.99 69.04
Site moments in Bohr magnetons follow the coordinates.
Element x y z (fractional)
1 Ce 0.0000 0.5000 0.5000  0.19
2 Ce 0.5000 0.0000 0.0000  0.19
3 Sn 0.0001 0.9999 0.7500  0.00
4 Sn 0.9999 0.0001 0.2500  0.00
5 S 0.7706 0.7710 0.2502  -0.01
6 S 0.2253 0.7660 0.4999  -0.01
7 S 0.7747 0.2340 0.5001  -0.01
8 S 0.7710 0.7706 0.7502  -0.01
9 S 0.2290 0.2294 0.2498  -0.01
10 S 0.2340 0.7747 0.0001  -0.01
11 S 0.7660 0.2253 0.9999  -0.01
12 S 0.2294 0.2290 0.7498  -0.01

Values from the calculation:
Magnetic moment = 0.29 μB/cell
Space group = Cccm

=====

The winner here is ii, beating the second structure by 11 meV per atom.

=====

## i
The following is a DFT calculation (PBE) of an optimized crystal structure of Ce3SnS6.

Lattice parameters (Å, degrees): 7.0900 8.6326 8.6326 102.69 90.00 90.00
Site moments in Bohr magnetons follow the coordinates.
Element x y z (fractional)
1 Ce 0.4787 0.9176 0.7109  0.72
2 Ce 0.9787 0.7109 0.9176  0.72
3 Ce 0.3917 0.3979 0.6021  0.63
4 Ce 0.8917 0.6021 0.3979  0.63
5 Ce 0.9787 0.0824 0.2891  0.72
6 Ce 0.4787 0.2891 0.0824  0.72
7 Sn 0.0083 0.1778 0.8222  -0.01
8 Sn 0.5083 0.8222 0.1778  -0.01
9 S 0.1831 0.6896 0.6350  -0.03
10 S 0.6831 0.6350 0.6896  -0.03
11 S 0.2096 0.4399 0.9049  -0.02
12 S 0.7096 0.9049 0.4399  -0.02
13 S 0.2369 0.0141 0.9859  -0.02
14 S 0.6058 0.2277 0.7723  -0.03
15 S 0.1058 0.7723 0.2277  -0.03
16 S 0.7369 0.9859 0.0141  -0.02
17 S 0.2096 0.0951 0.5601  -0.02
18 S 0.7096 0.5601 0.0951  -0.02
19 S 0.1831 0.3650 0.3104  -0.03
20 S 0.6831 0.3104 0.3650  -0.03

Values from the calculation:
Magnetic moment = 4.04 μB/cell
Space group = Cmc2_1

=====

## ii
The following is a DFT calculation (PBE) of an optimized crystal structure of Ce3SnS6.

Lattice parameters (Å, degrees): 8.2068 8.2068 8.2068 100.63 100.63 100.63
Site moments in Bohr magnetons follow the coordinates.
Element x y z (fractional)
1 Ce 0.1249 0.6224 0.2863  0.69
2 Ce 0.2863 0.1249 0.6224  0.69
3 Ce 0.3776 0.7137 0.8751  0.69
4 Ce 0.6224 0.2863 0.1249  0.69
5 Ce 0.7137 0.8751 0.3776  0.69
6 Ce 0.8751 0.3776 0.7137  0.69
7 Sn 0.0000 0.0000 0.0000  -0.02
8 Sn 0.5000 0.5000 0.5000  0.02
9 S 0.0597 0.6773 0.9418  -0.03
10 S 0.0582 0.9403 0.3227  -0.03
11 S 0.1749 0.4301 0.5796  -0.02
12 S 0.3227 0.0582 0.9403  -0.03
13 S 0.4301 0.5796 0.1749  -0.02
14 S 0.4204 0.8251 0.5699  -0.02
15 S 0.5796 0.1749 0.4301  -0.02
16 S 0.5699 0.4204 0.8251  -0.02
17 S 0.6773 0.9418 0.0597  -0.03
18 S 0.8251 0.5699 0.4204  -0.02
19 S 0.9418 0.0597 0.6773  -0.03
20 S 0.9403 0.3227 0.0582  -0.03

Values from the calculation:
Magnetic moment = 4.05 μB/cell
Space group = R-3

=====

The winner here is i, beating the second structure by 53 meV per atom.

=====

## i
The following is a DFT calculation (PBE) of an optimized crystal structure of SrCeS2.

Lattice parameters (Å, degrees): 4.1231 4.1231 7.3080 73.62 73.62 60.00
Site moments in Bohr magnetons follow the coordinates.
Element x y z (fractional)
1 Sr 0.5000 0.5000 0.5000  0.01
2 Ce 0.0000 0.0000 0.0000  1.03
3 S 0.7466 0.7466 0.7603  -0.02
4 S 0.2534 0.2534 0.2397  -0.02

Values from the calculation:
Magnetic moment = 1.30 μB/cell
Space group = R-3m

=====

## ii
The following is a DFT calculation (PBE) of an optimized crystal structure of SrCeS2.

Lattice parameters (Å, degrees): 4.0970 4.0970 14.0254 90.00 90.00 120.00
Site moments in Bohr magnetons follow the coordinates.
Element x y z (fractional)
1 Sr 0.6667 0.3333 0.2500  0.01
2 Sr 0.3333 0.6667 0.7500  0.01
3 Ce 0.0000 0.0000 0.5000  0.98
4 Ce 0.0000 0.0000 0.0000  0.98
5 S 0.3333 0.6667 0.3823  -0.02
6 S 0.6667 0.3333 0.8823  -0.02
7 S 0.6667 0.3333 0.6177  -0.02
8 S 0.3333 0.6667 0.1177  -0.02

Values from the calculation:
Magnetic moment = 2.48 μB/cell
Space group = P6_3/mmc

=====

## iii
The following is a DFT calculation (PBE) of an optimized crystal structure of SrCeS2.

Lattice parameters (Å, degrees): 4.0527 4.0527 7.6120 74.56 74.56 60.00
Site moments in Bohr magnetons follow the coordinates.
Element x y z (fractional)
1 Sr 0.4957 0.4957 0.5129  0.02
2 Ce 0.6697 0.6697 0.9910  1.03
3 S 0.0797 0.0797 0.7609  -0.02
4 S 0.2549 0.2549 0.2352  -0.02

Values from the calculation:
Magnetic moment = 1.35 μB/cell
Space group = R3m

=====

The winner here is i, beating the second structure by 33 meV per atom.

=====

## i
The following is a DFT calculation (PBE) of an optimized crystal structure of SrCe2S4.

Lattice parameters (Å, degrees): 7.5186 7.5186 7.5186 109.45 109.45 109.51
Site moments in Bohr magnetons follow the coordinates.
Element x y z (fractional)
1 Sr 0.2500 0.7500 0.5000  0.00
2 Sr 0.5000 0.5000 0.0000  0.00
3 Ce 0.3750 0.9985 0.1235  0.94
4 Ce 0.7485 0.6250 0.6235  0.94
5 Ce 0.8750 0.2515 0.8765  0.94
6 Ce 0.0015 0.1250 0.3765  0.94
7 S 0.1147 0.5178 0.7489  -0.02
8 S 0.1158 0.0190 0.7511  -0.02
9 S 0.6342 0.8853 0.4032  -0.02
10 S 0.2678 0.3647 0.2489  -0.02
11 S 0.4822 0.2310 0.5968  -0.02
12 S 0.6353 0.8842 0.9032  -0.02
13 S 0.7690 0.3658 0.2511  -0.02
14 S 0.9810 0.7322 0.0968  -0.02

Values from the calculation:
Magnetic moment = 4.01 μB/cell
Space group = I-42d

=====

## ii
The following is a DFT calculation (PBE) of an optimized crystal structure of SrCe2S4.

Lattice parameters (Å, degrees): 4.0706 7.0531 13.6056 90.00 90.00 106.77
Site moments in Bohr magnetons follow the coordinates.
Element x y z (fractional)
1 Sr 0.6145 0.2291 0.7500  0.00
2 Sr 0.3855 0.7709 0.2500  0.00
3 Ce 0.1314 0.2628 0.4316  0.86
4 Ce 0.8686 0.7372 0.9316  0.86
5 Ce 0.1314 0.2628 0.0683  0.86
6 Ce 0.8686 0.7372 0.5684  0.86
7 S 0.7697 0.5394 0.1164  -0.02
8 S 0.7697 0.5394 0.3836  -0.02
9 S 0.2303 0.4606 0.8836  -0.02
10 S 0.2303 0.4606 0.6164  -0.02
11 S 0.9579 0.9159 0.7500  -0.02
12 S 0.0421 0.0841 0.2500  -0.02
13 S 0.5000 0.0000 0.0000  -0.03
14 S 0.5000 0.0000 0.5000  -0.03

Values from the calculation:
Magnetic moment = 3.84 μB/cell
Space group = Cmcm

=====

The winner here is i, beating the second structure by 15 meV per atom.